## GaAgRu2C (GGA-PBE)

Data for a relaxed structure of GaAgRu2C.

a b c (Å): 5.052 5.052 3.683
angles (deg): 90.00 90.00 90.00
Space group P4/mmm (No. 123)
Symmetry-distinct sites (fractional):
Ga (0.000, 0.000, 0.000) [1 per cell]
Ag (0.500, 0.500, 0.500) [1 per cell]
Ru (0.000, 0.500, 0.500) [2 per cell]
C (0.500, 0.500, 0.000) [1 per cell]

Computed properties:
ΔE_f: 2.248 eV per atom

=====

## CaPd3O6 (GGA-PBE)

Data for a relaxed structure of CaPd3O6.

a b c (Å): 7.306 10.265 3.245
angles (deg): 90.00 90.00 90.00
Space group Cmmm (No. 65)
Symmetry-distinct sites (fractional):
Ca (0.000, 0.000, 0.000) [2 per cell]
Pd (0.000, 0.500, 0.000) [2 per cell]
Pd (0.250, 0.250, 0.500) [4 per cell]
O (0.000, 0.163, 0.500) [4 per cell]
O (0.206, 0.372, 0.000) [8 per cell]

Computed properties:
Raw formation energy: -0.98 eV/atom

=====

## CaCeY2In4 (GGA-PBE)

Data for a relaxed structure of CaCeY2In4.

a b c (Å): 5.3753 5.3753 26.6549
angles (deg): 90.00 90.00 120.00
Space group R-3m (No. 166, hexagonal axes)
Symmetry-distinct sites (fractional):
Ca (0.0000, 0.0000, 0.0000) [3 per cell]
Ce (0.0000, 0.0000, 0.5000) [3 per cell]
Y (0.0000, 0.0000, 0.2519) [6 per cell]
In (0.0000, 0.0000, 0.1249) [6 per cell]
In (0.0000, 0.0000, 0.3749) [6 per cell]

Computed properties:
ΔE_f: -0.442 eV per atom

=====

Number 1: electronic total energy -4.482 eV per atom, calculated volume 18.80 Å³ per atom. Number 2: electronic total energy -5.716 eV per atom, calculated volume 12.17 Å³ per atom. Number 3: electronic total energy -4.419 eV per atom, calculated volume 27.79 Å³ per atom.